The following is a DFT calculation (GGA-PBE) of a relaxed structure of Li2PuSnCl8.

Computed properties:
space-group type	P-1
total DFT energy (no corrections)	-4.614	eV/atom
formation energy without anion corrections	-1536	meV/atom

Lattice parameters (Å, degrees): 6.582 6.847 8.483 73.01 89.81 78.58
Positions (direct):
1 Li 0.041 0.143 0.324
2 Li 0.959 0.857 0.676
3 Pu 0.500 0.500 0.000
4 Sn 0.500 0.500 0.500
5 Cl 0.117 0.774 0.447
6 Cl 0.144 0.754 0.940
7 Cl 0.370 0.279 0.283
8 Cl 0.381 0.289 0.819
9 Cl 0.619 0.711 0.181
10 Cl 0.630 0.721 0.717
11 Cl 0.856 0.246 0.060
12 Cl 0.883 0.226 0.553